Record 1
Ag2H10C8Br3NO2 | GGA-PBE | relaxed Values from VASP.

The structure in Quantum ESPRESSO input format:
```
&SYSTEM
  ibrav = 0, nat = 104, ntyp = 6
/
ATOMIC_SPECIES
Ag 107.87 Ag.upf
H 1.01 H.upf
C 12.01 C.upf
Br 79.90 Br.upf
N 14.01 N.upf
O 16.00 O.upf
ATOMIC_POSITIONS crystal
Ag 0.014 0.018 0.091
Ag 0.014 0.482 0.591
Ag 0.452 0.514 0.407
Ag 0.452 0.986 0.907
Ag 0.548 0.014 0.093
Ag 0.548 0.486 0.593
Ag 0.986 0.518 0.409
Ag 0.986 0.982 0.909
H 0.038 0.201 0.788
H 0.038 0.299 0.288
H 0.068 0.542 0.797
H 0.068 0.958 0.297
H 0.077 0.705 0.992
H 0.077 0.795 0.492
H 0.242 0.123 0.257
H 0.242 0.377 0.757
H 0.300 0.744 0.550
H 0.300 0.756 0.050
H 0.302 0.685 0.951
H 0.302 0.815 0.451
H 0.323 0.204 0.348
H 0.323 0.296 0.848
H 0.438 0.074 0.576
H 0.438 0.426 0.076
H 0.479 0.735 0.836
H 0.479 0.765 0.336
H 0.488 0.167 0.275
H 0.488 0.333 0.775
H 0.512 0.667 0.225
H 0.512 0.833 0.725
H 0.521 0.235 0.664
H 0.521 0.265 0.164
H 0.562 0.574 0.924
H 0.562 0.926 0.424
H 0.677 0.704 0.152
H 0.677 0.796 0.652
H 0.698 0.185 0.549
H 0.698 0.315 0.049
H 0.700 0.244 0.950
H 0.700 0.256 0.450
H 0.758 0.623 0.243
H 0.758 0.877 0.743
H 0.923 0.205 0.508
H 0.923 0.295 0.008
H 0.932 0.042 0.703
H 0.932 0.458 0.203
H 0.962 0.701 0.712
H 0.962 0.799 0.212
C 0.063 0.082 0.693
C 0.063 0.418 0.193
C 0.118 0.170 0.740
C 0.118 0.330 0.240
C 0.120 0.553 0.087
C 0.120 0.947 0.587
C 0.179 0.045 0.634
C 0.179 0.455 0.134
C 0.234 0.692 0.009
C 0.234 0.808 0.509
C 0.338 0.187 0.281
C 0.338 0.313 0.781
C 0.345 0.100 0.622
C 0.345 0.400 0.122
C 0.393 0.189 0.670
C 0.393 0.311 0.170
C 0.607 0.689 0.830
C 0.607 0.811 0.330
C 0.655 0.600 0.878
C 0.655 0.900 0.378
C 0.662 0.687 0.219
C 0.662 0.813 0.719
C 0.766 0.192 0.491
C 0.766 0.308 0.991
C 0.821 0.545 0.866
C 0.821 0.955 0.366
C 0.880 0.053 0.413
C 0.880 0.447 0.913
C 0.882 0.670 0.760
C 0.882 0.830 0.260
C 0.937 0.582 0.807
C 0.937 0.918 0.307
Br 0.190 0.642 0.322
Br 0.190 0.858 0.822
Br 0.250 0.133 0.992
Br 0.250 0.367 0.492
Br 0.305 0.594 0.674
Br 0.305 0.906 0.174
Br 0.695 0.094 0.826
Br 0.695 0.406 0.326
Br 0.750 0.633 0.508
Br 0.750 0.867 0.008
Br 0.810 0.142 0.178
Br 0.810 0.358 0.678
N 0.282 0.221 0.728
N 0.282 0.279 0.228
N 0.718 0.721 0.772
N 0.718 0.779 0.272
O 0.045 0.088 0.420
O 0.045 0.412 0.920
O 0.271 0.596 0.056
O 0.271 0.904 0.556
O 0.729 0.096 0.444
O 0.729 0.404 0.944
O 0.955 0.588 0.080
O 0.955 0.912 0.580
CELL_PARAMETERS angstrom
6.974 0.000 0.000
0.000 12.959 0.000
-2.344 0.000 15.483
```

- Symmetry: No. 14
- Volume: 1399 Å³ per cell
- Total DFT energy (no corrections): -573.4 eV/cell
- ρ: 2884 kg/m3


Record 2
Th2GaOs | GGA-PBE | relaxed Values from VASP.

The structure in Quantum ESPRESSO input format:
```
&SYSTEM
  ibrav = 0, nat = 8, ntyp = 3
/
ATOMIC_SPECIES
Th 232.04 Th.upf
Ga 69.72 Ga.upf
Os 190.23 Os.upf
ATOMIC_POSITIONS crystal
Th 0.181 0.250 0.404
Th 0.272 0.750 0.050
Th 0.728 0.250 0.950
Th 0.819 0.750 0.596
Ga 0.363 0.750 0.706
Ga 0.637 0.250 0.294
Os 0.113 0.250 0.795
Os 0.887 0.750 0.205
CELL_PARAMETERS angstrom
6.085 0.000 0.000
0.000 4.115 0.000
-2.938 0.000 7.988
```

- Symmetry: No. 11
- Volume: 200 Å³ per cell
- Total DFT energy (no corrections): -61.8 eV/cell
- ρ: 12022 kg/m3


Record 3
Cs4Os2Cl10O | GGA-PBE | relaxed Values from VASP.

The structure in Quantum ESPRESSO input format:
```
&SYSTEM
  ibrav = 0, nat = 68, ntyp = 4
/
ATOMIC_SPECIES
Cs 132.91 Cs.upf
Os 190.23 Os.upf
Cl 35.45 Cl.upf
O 16.00 O.upf
ATOMIC_POSITIONS crystal
Cs 0.021 0.143 0.223
Cs 0.021 0.357 0.723
Cs 0.219 0.637 0.606
Cs 0.219 0.863 0.106
Cs 0.281 0.137 0.606
Cs 0.281 0.363 0.106
Cs 0.479 0.643 0.223
Cs 0.479 0.857 0.723
Cs 0.521 0.143 0.277
Cs 0.521 0.357 0.777
Cs 0.719 0.637 0.894
Cs 0.719 0.863 0.394
Cs 0.781 0.137 0.894
Cs 0.781 0.363 0.394
Cs 0.979 0.643 0.277
Cs 0.979 0.857 0.777
Os 0.087 0.593 0.946
Os 0.087 0.907 0.446
Os 0.413 0.093 0.946
Os 0.413 0.407 0.446
Os 0.587 0.593 0.554
Os 0.587 0.907 0.054
Os 0.913 0.093 0.554
Os 0.913 0.407 0.054
Cl 0.014 0.098 0.717
Cl 0.014 0.402 0.217
Cl 0.027 0.217 0.486
Cl 0.027 0.283 0.986
Cl 0.199 0.715 0.874
Cl 0.199 0.785 0.374
Cl 0.200 0.603 0.100
Cl 0.200 0.897 0.600
Cl 0.216 0.015 0.369
Cl 0.216 0.485 0.869
Cl 0.284 0.515 0.369
Cl 0.284 0.985 0.869
Cl 0.300 0.103 0.100
Cl 0.300 0.397 0.600
Cl 0.301 0.215 0.874
Cl 0.301 0.285 0.374
Cl 0.473 0.717 0.486
Cl 0.473 0.783 0.986
Cl 0.486 0.598 0.717
Cl 0.486 0.902 0.217
Cl 0.514 0.098 0.783
Cl 0.514 0.402 0.283
Cl 0.527 0.217 0.014
Cl 0.527 0.283 0.514
Cl 0.699 0.715 0.626
Cl 0.699 0.785 0.126
Cl 0.700 0.603 0.400
Cl 0.700 0.897 0.900
Cl 0.716 0.015 0.131
Cl 0.716 0.485 0.631
Cl 0.784 0.515 0.131
Cl 0.784 0.985 0.631
Cl 0.800 0.103 0.400
Cl 0.800 0.397 0.900
Cl 0.801 0.215 0.626
Cl 0.801 0.285 0.126
Cl 0.973 0.717 0.014
Cl 0.973 0.783 0.514
Cl 0.986 0.598 0.783
Cl 0.986 0.902 0.283
O 0.000 0.000 0.500
O 0.000 0.500 0.000
O 0.500 0.000 0.000
O 0.500 0.500 0.500
CELL_PARAMETERS angstrom
12.108 0.000 0.000
0.000 14.144 0.000
0.000 0.000 12.713
```

- Symmetry: No. 61
- Volume: 2177 Å³ per cell
- Total DFT energy (no corrections): -284.7 eV/cell
- ρ: 3913 kg/m3


Record 4
LuBeTlFe | GGA-PBE | relaxed Values from VASP.

The structure in Quantum ESPRESSO input format:
```
&SYSTEM
  ibrav = 0, nat = 4, ntyp = 4
/
ATOMIC_SPECIES
Lu 174.97 Lu.upf
Be 9.01 Be.upf
Tl 204.38 Tl.upf
Fe 55.84 Fe.upf
ATOMIC_POSITIONS crystal
Lu 0.000 0.000 0.000
Be 0.250 0.250 0.250
Tl 0.500 0.500 0.500
Fe 0.750 0.750 0.750
CELL_PARAMETERS angstrom
0.000 3.255 3.255
3.255 0.000 3.255
3.255 3.255 0.000
```

- Symmetry: No. 216
- Volume: 69 Å³ per cell
- Total DFT energy (no corrections): -17.6 eV/cell
- ρ: 10690 kg/m3


Record 5
Er3In3NiPd2 | GGA-PBE | relaxed Values from VASP.

The structure in Quantum ESPRESSO input format:
```
&SYSTEM
  ibrav = 0, nat = 9, ntyp = 4
/
ATOMIC_SPECIES
Er 167.26 Er.upf
In 114.82 In.upf
Ni 58.69 Ni.upf
Pd 106.42 Pd.upf
ATOMIC_POSITIONS crystal
Er 0.000 0.594 0.000
Er 0.406 0.406 0.000
Er 0.594 0.000 0.000
In 0.000 0.251 0.500
In 0.251 0.000 0.500
In 0.749 0.749 0.500
Ni 0.000 0.000 0.000
Pd 0.333 0.667 0.500
Pd 0.667 0.333 0.500
CELL_PARAMETERS angstrom
7.619 0.000 0.000
-3.810 6.599 0.000
0.000 0.000 3.753
```

- Symmetry: No. 189
- Volume: 189 Å³ per cell
- Total DFT energy (no corrections): -44.4 eV/cell
- ρ: 9837 kg/m3


Record 6
ZnSO4 | GGA-PBE | relaxed Values from VASP.

The structure in Quantum ESPRESSO input format:
```
&SYSTEM
  ibrav = 0, nat = 6, ntyp = 3
/
ATOMIC_SPECIES
Zn 65.41 Zn.upf
S 32.06 S.upf
O 16.00 O.upf
ATOMIC_POSITIONS crystal
Zn 0.000 0.000 0.000
S 0.750 0.250 0.500
O 0.057 0.552 0.885
O 0.448 0.333 0.505
O 0.667 0.172 0.115
O 0.828 0.943 0.495
CELL_PARAMETERS angstrom
-2.261 2.261 3.701
2.261 -2.261 3.701
2.261 2.261 -3.701
```

- Symmetry: No. 82
- Volume: 76 Å³ per cell
- Total DFT energy (no corrections): -33.4 eV/cell
- ρ: 3544 kg/m3


Record 7
BeNb2Sb | GGA-PBE | relaxed Values from VASP.

The structure in Quantum ESPRESSO input format:
```
&SYSTEM
  ibrav = 0, nat = 4, ntyp = 3
/
ATOMIC_SPECIES
Be 9.01 Be.upf
Nb 92.91 Nb.upf
Sb 121.76 Sb.upf
ATOMIC_POSITIONS crystal
Be 0.000 0.000 0.000
Nb 0.250 0.250 0.250
Nb 0.500 0.500 0.500
Sb 0.750 0.750 0.750
CELL_PARAMETERS angstrom
0.000 3.246 3.246
3.246 0.000 3.246
3.246 3.246 0.000
```

- Symmetry: No. 216
- Volume: 68 Å³ per cell
- Total DFT energy (no corrections): -26.7 eV/cell
- ρ: 7687 kg/m3


Record 8
HoAlPtAu | GGA-PBE | relaxed Values from VASP.

The structure in Quantum ESPRESSO input format:
```
&SYSTEM
  ibrav = 0, nat = 8, ntyp = 4
/
ATOMIC_SPECIES
Ho 164.93 Ho.upf
Al 26.98 Al.upf
Pt 195.08 Pt.upf
Au 196.97 Au.upf
ATOMIC_POSITIONS crystal
Ho 0.333 0.667 0.261
Ho 0.667 0.333 0.739
Al 0.000 0.000 0.000
Al 0.000 0.000 0.500
Pt 0.333 0.667 0.582
Pt 0.667 0.333 0.418
Au 0.333 0.667 0.914
Au 0.667 0.333 0.086
CELL_PARAMETERS angstrom
4.416 0.000 0.000
-2.208 3.825 0.000
0.000 0.000 9.181
```

- Symmetry: No. 164
- Volume: 155 Å³ per cell
- Total DFT energy (no corrections): -43.2 eV/cell
- ρ: 12506 kg/m3